DFT (PBE) results for crystalline Co2Ru at its relaxed geometry.

The structure in CIF format:
```
data_Co2Ru
_symmetry_space_group_name_H-M 'C 1 m 1'
_symmetry_Int_Tables_number 8
_symmetry_space_group_name_Hall 'C -2y'
_cell_length_a 9.2804
_cell_length_b 2.6141
_cell_length_c 6.0610
_cell_angle_alpha 90.00
_cell_angle_beta 103.43
_cell_angle_gamma 90.00
loop_
_atom_site_label
_atom_site_type_symbol
_atom_site_fract_x
_atom_site_fract_y
_atom_site_fract_z
Co1 Co 0.0000 0.0000 0.0000
Co2 Co 0.0566 0.0000 0.6138
Co3 Co 0.1678 0.5000 0.3432
Co4 Co 0.3368 0.0000 0.6707
Ru1 Ru 0.2204 0.5000 0.9430
Ru2 Ru 0.3904 0.0000 0.2836
```

Results
- energy above the most stable polymorph in this dataset (eV per atom) = 0.009
- energy relative to the elements (eV per atom) = 0.13

DFT (PBE) results for crystalline Y5Te2Ir2 at its relaxed geometry.

The structure in CIF format:
```
data_Y5Te2Ir2
_symmetry_space_group_name_H-M 'C m c e'
_symmetry_Int_Tables_number 64
_symmetry_space_group_name_Hall '-C 2ac 2'
_cell_length_a 15.6626
_cell_length_b 7.8141
_cell_length_c 7.7748
_cell_angle_alpha 90.00
_cell_angle_beta 90.00
_cell_angle_gamma 90.00
loop_
_atom_site_label
_atom_site_type_symbol
_atom_site_fract_x
_atom_site_fract_y
_atom_site_fract_z
Y1 Y 0.0000 0.0000 0.0000
Y2 Y 0.1170 0.1603 0.3412
Te1 Te 0.2097 0.0000 0.0000
Ir1 Ir 0.0000 0.1388 0.6373
```

Results
- formation energy without anion corrections (eV per atom) = -1.053

DFT (PBE) results for crystalline BeAg2As at its relaxed geometry.

The structure in CIF format:
```
data_BeAg2As
_symmetry_space_group_name_H-M 'P 4/m m m'
_symmetry_Int_Tables_number 123
_symmetry_space_group_name_Hall '-P 4 2'
_cell_length_a 2.8494
_cell_length_b 2.8494
_cell_length_c 7.9005
_cell_angle_alpha 90.00
_cell_angle_beta 90.00
_cell_angle_gamma 90.00
loop_
_atom_site_label
_atom_site_type_symbol
_atom_site_fract_x
_atom_site_fract_y
_atom_site_fract_z
Be1 Be 0.0000 0.0000 0.0000
Ag1 Ag 0.5000 0.5000 0.1988
As1 As 0.0000 0.0000 0.5000
```

Results
- energy above the most stable polymorph in this dataset (eV per atom) = 0.007
- energy relative to the elements (eV per atom) = 0.22